# GGA-PBE VSiMoOs2, optimized geometry
# - Electronic total energy: -7.59 eV per atom
# - Total moment: 0.00 Bohr magnetons per cell
data_VSiMoOs2
_chemical_formula_sum 'V1 Si1 Mo1 Os2'
_cell_length_a 4.718
_cell_length_b 4.718
_cell_length_c 4.451
_cell_angle_alpha 90.00
_cell_angle_beta 90.00
_cell_angle_gamma 90.00
_space_group_name_H-M_alt 'P 4/m m m'
_space_group_IT_number 123
_space_group_name_Hall '-P 4 2'
loop_
_atom_site_label
_atom_site_type_symbol
_atom_site_fract_x
_atom_site_fract_y
_atom_site_fract_z
V1 V 0.000 0.000 0.000
Si1 Si 0.500 0.500 0.000
Mo1 Mo 0.000 0.000 0.500
Os1 Os 0.000 0.500 0.500